Model 1:
VASP calculation (PBE-GGA) on a geometry-optimized ZnAuIN2 structure.

Symmetry: P4/mmm

a = 4.0149 Å, b = 4.0149 Å, c = 6.7866 Å
α = 90.00°, β = 90.00°, γ = 90.00°
Fractional coordinates of all 5 atoms:
Zn: 0.0000 0.0000 0.0000
Au: 0.5000 0.5000 0.5000
I: 0.0000 0.0000 0.5000
N: 0.0000 0.5000 0.0000
N: 0.5000 0.0000 0.0000

Model 2:
VASP calculation (PBE-GGA) on a geometry-optimized ZnAuIN2 structure.

Symmetry: P4/mmm

a = 4.0289 Å, b = 4.0289 Å, c = 8.1937 Å
α = 90.00°, β = 90.00°, γ = 90.00°
Fractional coordinates of all 5 atoms:
Zn: 0.0000 0.0000 0.0000
Au: 0.5000 0.5000 0.5000
I: 0.5000 0.5000 0.0000
N: 0.0000 0.5000 0.5000
N: 0.5000 0.0000 0.5000

Relative energies, in meV/atom, with the most stable structure set to zero: model 1 0; model 2 15.

Model 1:
VASP calculation (PBE-GGA) on a geometry-optimized NaAuI3 structure.

Symmetry: P2_1/c

a = 8.7142 Å, b = 11.3879 Å, c = 8.3574 Å
α = 90.00°, β = 111.50°, γ = 90.00°
Fractional coordinates of all 20 atoms:
Na: 0.0839 0.1276 0.2388
Na: 0.0839 0.3724 0.7388
Na: 0.9161 0.6276 0.2612
Na: 0.9161 0.8724 0.7612
Au: 0.4950 0.6248 0.7511
Au: 0.4950 0.8752 0.2511
Au: 0.5050 0.1248 0.7489
Au: 0.5050 0.3752 0.2489
I: 0.1699 0.6434 0.6628
I: 0.1699 0.8566 0.1628
I: 0.1797 0.1052 0.6494
I: 0.1797 0.3948 0.1494
I: 0.4602 0.1256 0.2438
I: 0.4602 0.3744 0.7438
I: 0.5398 0.6256 0.2562
I: 0.5398 0.8744 0.7562
I: 0.8203 0.6052 0.8506
I: 0.8203 0.8948 0.3506
I: 0.8301 0.1434 0.8372
I: 0.8301 0.3566 0.3372

Model 2:
VASP calculation (PBE-GGA) on a geometry-optimized NaAuI3 structure.

Symmetry: Pm-3m

a = 5.8670 Å, b = 5.8670 Å, c = 5.8670 Å
α = 90.00°, β = 90.00°, γ = 90.00°
Fractional coordinates of all 5 atoms:
Na: 0.0000 0.0000 0.0000
Au: 0.5000 0.5000 0.5000
I: 0.0000 0.0000 0.5000
I: 0.0000 0.5000 0.0000
I: 0.5000 0.0000 0.0000

Relative energies, in meV/atom, with the most stable structure set to zero: model 1 0; model 2 796.

Model 1:
VASP calculation (PBE-GGA) on a geometry-optimized NaAuI3 structure.

Symmetry: P2_1/c

a = 9.0200 Å, b = 8.8285 Å, c = 11.0042 Å
α = 90.00°, β = 118.07°, γ = 90.00°
Fractional coordinates of all 20 atoms:
Na: 0.2015 0.1715 0.1826
Na: 0.2015 0.3285 0.6826
Na: 0.7985 0.6715 0.3174
Na: 0.7985 0.8285 0.8174
Au: 0.3058 0.6884 0.3411
Au: 0.3058 0.8116 0.8411
Au: 0.6942 0.1884 0.1589
Au: 0.6942 0.3116 0.6589
I: 0.0395 0.5104 0.2157
I: 0.0395 0.9896 0.7157
I: 0.2638 0.6878 0.5850
I: 0.2638 0.8122 0.0850
I: 0.3882 0.1904 0.5280
I: 0.3882 0.3096 0.0280
I: 0.6118 0.6904 0.9720
I: 0.6118 0.8096 0.4720
I: 0.7362 0.1878 0.9150
I: 0.7362 0.3122 0.4150
I: 0.9605 0.0104 0.2843
I: 0.9605 0.4896 0.7843

Model 2:
VASP calculation (PBE-GGA) on a geometry-optimized NaAuI3 structure.

Symmetry: Pm-3m

a = 5.7535 Å, b = 5.7535 Å, c = 5.7535 Å
α = 90.00°, β = 90.00°, γ = 90.00°
Fractional coordinates of all 5 atoms:
Na: 0.0000 0.0000 0.0000
Au: 0.5000 0.5000 0.5000
I: 0.0000 0.5000 0.5000
I: 0.5000 0.0000 0.5000
I: 0.5000 0.5000 0.0000

Relative energies, in meV/atom, with the most stable structure set to zero: model 1 0; model 2 104.

Model 1:
VASP calculation (PBE-GGA) on a geometry-optimized NaAuI2O structure.

Symmetry: P4/mmm

a = 5.7888 Å, b = 5.7888 Å, c = 4.1048 Å
α = 90.00°, β = 90.00°, γ = 90.00°
Fractional coordinates of all 5 atoms:
Na: 0.0000 0.0000 0.0000
Au: 0.5000 0.5000 0.5000
I: 0.0000 0.5000 0.0000
I: 0.5000 0.0000 0.0000
O: 0.0000 0.0000 0.5000

Model 2:
VASP calculation (PBE-GGA) on a geometry-optimized NaAuI2O structure.

Symmetry: P4/mmm

a = 5.8602 Å, b = 5.8602 Å, c = 4.0418 Å
α = 90.00°, β = 90.00°, γ = 90.00°
Fractional coordinates of all 5 atoms:
Na: 0.0000 0.0000 0.0000
Au: 0.5000 0.5000 0.5000
I: 0.0000 0.5000 0.5000
I: 0.5000 0.0000 0.5000
O: 0.5000 0.5000 0.0000

Relative energies, in meV/atom, with the most stable structure set to zero: model 1 723; model 2 0.

Model 1:
VASP calculation (PBE-GGA) on a geometry-optimized NaSbAuI2 structure.

Symmetry: P4/mmm

a = 5.9792 Å, b = 5.9792 Å, c = 5.3304 Å
α = 90.00°, β = 90.00°, γ = 90.00°
Fractional coordinates of all 5 atoms:
Na: 0.0000 0.0000 0.0000
Sb: 0.5000 0.5000 0.0000
Au: 0.5000 0.5000 0.5000
I: 0.0000 0.5000 0.5000
I: 0.5000 0.0000 0.5000

Model 2:
VASP calculation (PBE-GGA) on a geometry-optimized NaSbAuI2 structure.

Symmetry: P4/mmm

a = 5.6294 Å, b = 5.6294 Å, c = 5.9777 Å
α = 90.00°, β = 90.00°, γ = 90.00°
Fractional coordinates of all 5 atoms:
Na: 0.0000 0.0000 0.0000
Sb: 0.0000 0.0000 0.5000
Au: 0.5000 0.5000 0.5000
I: 0.0000 0.5000 0.0000
I: 0.5000 0.0000 0.0000

Relative energies, in meV/atom, with the most stable structure set to zero: model 1 0; model 2 622.

Model 1:
VASP calculation (PBE-GGA) on a geometry-optimized NaSb2AuI structure.

Symmetry: P4/mmm

a = 5.2204 Å, b = 5.2204 Å, c = 8.0935 Å
α = 90.00°, β = 90.00°, γ = 90.00°
Fractional coordinates of all 5 atoms:
Na: 0.0000 0.0000 0.0000
Sb: 0.0000 0.5000 0.5000
Sb: 0.5000 0.0000 0.5000
Au: 0.5000 0.5000 0.5000
I: 0.5000 0.5000 0.0000

Model 2:
VASP calculation (PBE-GGA) on a geometry-optimized NaSb2AuI structure.

Symmetry: P4/mmm

a = 5.4986 Å, b = 5.4986 Å, c = 5.5060 Å
α = 90.00°, β = 90.00°, γ = 90.00°
Fractional coordinates of all 5 atoms:
Na: 0.0000 0.0000 0.0000
Sb: 0.0000 0.5000 0.0000
Sb: 0.5000 0.0000 0.0000
Au: 0.5000 0.5000 0.5000
I: 0.0000 0.0000 0.5000

Relative energies, in meV/atom, with the most stable structure set to zero: model 1 0; model 2 664.